1.
VASP calculation (PBE) on an optimized crystal structure of Al2IrN4.

DFT total energy	-6.971	eV/atom

The structure in POSCAR format:
```
Al2IrN4
1.0
5.288 -2.518 0.000
5.288 2.518 0.000
-0.737 0.000 2.786
Al Ir N
2 1 4
Direct
0.197 0.197 0.196
0.803 0.803 0.804
0.500 0.500 0.500
0.097 0.623 0.358
0.377 0.903 0.642
0.623 0.097 0.358
0.903 0.377 0.642
```

=====

2.
VASP calculation (PBE) on an optimized crystal structure of Al2Ir4N.

DFT total energy	-6.851	eV/atom

The structure in POSCAR format:
```
Al2Ir4N
1.0
4.216 -5.154 0.000
4.216 5.154 0.000
0.000 0.000 2.762
Al Ir N
2 4 1
Direct
0.000 0.500 0.000
0.500 0.000 0.000
0.194 0.194 0.000
0.195 0.805 0.500
0.805 0.195 0.500
0.806 0.806 0.000
0.000 0.000 0.500
```

=====

3.
VASP calculation (PBE) on an optimized crystal structure of NaAlIr.

relative energy among the computed polymorphs	0.0	meV per atom

The structure in POSCAR format:
```
NaAlIr
1.0
0.000 3.055 3.055
3.055 0.000 3.055
3.055 3.055 0.000
Na Al Ir
1 1 1
Direct
0.000 0.000 0.000
0.500 0.500 0.500
0.750 0.750 0.750
```

=====

4.
VASP calculation (PBE) on an optimized crystal structure of NaAlIr.

relative energy among the computed polymorphs	800.5	meV per atom

The structure in POSCAR format:
```
NaAlIr
1.0
0.000 3.037 3.037
3.037 0.000 3.037
3.037 3.037 0.000
Na Al Ir
1 1 1
Direct
0.000 0.000 0.000
0.750 0.750 0.750
0.250 0.250 0.250
```

=====

5.
VASP calculation (PBE) on an optimized crystal structure of NaNbAlIr.

relative energy among the computed polymorphs	256.1	meV per atom

The structure in POSCAR format:
```
NaNbAlIr
1.0
0.000 3.206 3.206
3.206 0.000 3.206
3.206 3.206 0.000
Na Nb Al Ir
1 1 1 1
Direct
0.000 0.000 0.000
0.500 0.500 0.500
0.250 0.250 0.250
0.750 0.750 0.750
```

=====

6.
VASP calculation (PBE) on an optimized crystal structure of NaNbAlIr.

relative energy among the computed polymorphs	0.0	meV per atom

The structure in POSCAR format:
```
NaNbAlIr
1.0
0.000 3.169 3.169
3.169 0.000 3.169
3.169 3.169 0.000
Na Nb Al Ir
1 1 1 1
Direct
0.000 0.000 0.000
0.250 0.250 0.250
0.750 0.750 0.750
0.500 0.500 0.500
```

=====

7.
VASP calculation (PBE) on an optimized crystal structure of Na4Al2IrPd.

DFT total energy	-3.347	eV/atom

The structure in POSCAR format:
```
Na4Al2IrPd
1.0
4.630 0.000 0.000
0.000 4.630 0.000
0.000 0.000 6.588
Na Al Ir Pd
4 2 1 1
Direct
0.000 0.000 0.000
0.000 0.500 0.742
0.500 0.000 0.258
0.500 0.500 0.500
0.000 0.500 0.224
0.500 0.000 0.776
0.500 0.500 0.000
0.000 0.000 0.500
```

=====

8.
VASP calculation (PBE) on an optimized crystal structure of Na4Al2IrPt.

DFT total energy	-3.504	eV/atom

The structure in POSCAR format:
```
Na4Al2IrPt
1.0
4.613 0.000 0.000
0.000 4.613 0.000
0.000 0.000 6.544
Na Al Ir Pt
4 2 1 1
Direct
0.000 0.000 0.000
0.000 0.500 0.747
0.500 0.000 0.253
0.500 0.500 0.500
0.000 0.500 0.236
0.500 0.000 0.764
0.500 0.500 0.000
0.000 0.000 0.500
```

=====

9.
VASP calculation (PBE) on an optimized crystal structure of NaAlSbIr.

relative energy among the computed polymorphs	401.0	meV per atom

The structure in POSCAR format:
```
NaAlSbIr
1.0
0.000 3.333 3.333
3.333 0.000 3.333
3.333 3.333 0.000
Na Al Sb Ir
1 1 1 1
Direct
0.000 0.000 0.000
0.250 0.250 0.250
0.500 0.500 0.500
0.750 0.750 0.750
```

=====

10.
VASP calculation (PBE) on an optimized crystal structure of NaAlSbIr.

relative energy among the computed polymorphs	312.0	meV per atom

The structure in POSCAR format:
```
NaAlSbIr
1.0
0.000 3.309 3.309
3.309 0.000 3.309
3.309 3.309 0.000
Na Al Sb Ir
1 1 1 1
Direct
0.000 0.000 0.000
0.500 0.500 0.500
0.250 0.250 0.250
0.750 0.750 0.750
```

=====

11.
VASP calculation (PBE) on an optimized crystal structure of NaAlSbIr.

relative energy among the computed polymorphs	0.0	meV per atom

The structure in POSCAR format:
```
NaAlSbIr
1.0
0.000 3.266 3.266
3.266 0.000 3.266
3.266 3.266 0.000
Na Al Sb Ir
1 1 1 1
Direct
0.000 0.000 0.000
0.750 0.750 0.750
0.250 0.250 0.250
0.500 0.500 0.500
```

=====

12.
VASP calculation (PBE) on an optimized crystal structure of NbAl2Ir.

DFT total energy	-6.931	eV/atom

The structure in POSCAR format:
```
NbAl2Ir
1.0
0.000 3.159 3.159
3.159 0.000 3.159
3.159 3.159 0.000
Nb Al Ir
1 2 1
Direct
0.000 0.000 0.000
0.500 0.500 0.500
0.750 0.750 0.750
0.250 0.250 0.250
```

=====

13.
VASP calculation (PBE) on an optimized crystal structure of NbAl2Ir3.

DFT total energy	-8.211	eV/atom

The structure in POSCAR format:
```
NbAl2Ir3
1.0
2.937 0.000 0.000
0.000 2.937 0.000
0.000 0.000 10.128
Nb Al Ir
1 2 3
Direct
0.000 0.000 0.000
0.000 0.000 0.344
0.000 0.000 0.656
0.500 0.500 0.191
0.500 0.500 0.500
0.500 0.500 0.809
```

=====

14.
VASP calculation (PBE) on an optimized crystal structure of Nb2Al3Ir.

DFT total energy	-7.340	eV/atom

The structure in POSCAR format:
```
Nb2Al3Ir
1.0
5.212 0.000 0.000
-2.606 4.514 0.000
0.000 0.000 8.000
Nb Al Ir
4 6 2
Direct
0.333 0.667 0.073
0.333 0.667 0.427
0.667 0.333 0.573
0.667 0.333 0.927
0.170 0.339 0.750
0.170 0.830 0.750
0.339 0.170 0.250
0.661 0.830 0.750
0.830 0.170 0.250
0.830 0.661 0.250
0.000 0.000 0.000
0.000 0.000 0.500
```

=====

15.
VASP calculation (PBE) on an optimized crystal structure of Nb2AlIr.

DFT total energy	-8.490	eV/atom

The structure in POSCAR format:
```
Nb2AlIr
1.0
0.000 3.195 3.195
3.195 0.000 3.195
3.195 3.195 0.000
Nb Al Ir
2 1 1
Direct
0.000 0.000 0.000
0.250 0.250 0.250
0.500 0.500 0.500
0.750 0.750 0.750
```

=====

16.
VASP calculation (PBE) on an optimized crystal structure of NdAlIr.

DFT total energy	-6.515	eV/atom

The structure in POSCAR format:
```
NdAlIr
1.0
4.337 0.000 0.000
-2.168 3.756 0.000
0.000 0.000 8.058
Nd Al Ir
2 2 2
Direct
0.000 0.000 0.000
0.000 0.000 0.500
0.333 0.667 0.250
0.667 0.333 0.750
0.333 0.667 0.752
0.667 0.333 0.252
```

=====

17.
VASP calculation (PBE) on an optimized crystal structure of NdAl2Ir2.

DFT total energy	-6.875	eV/atom

The structure in POSCAR format:
```
NdAl2Ir2
1.0
4.285 0.000 0.000
0.000 4.285 0.000
0.000 0.000 10.228
Nd Al Ir
2 4 4
Direct
0.250 0.250 0.239
0.750 0.750 0.761
0.250 0.250 0.878
0.250 0.750 0.500
0.750 0.250 0.500
0.750 0.750 0.122
0.250 0.250 0.633
0.250 0.750 0.000
0.750 0.250 0.000
0.750 0.750 0.367
```

=====

18.
VASP calculation (PBE) on an optimized crystal structure of NdAlIr.

DFT total energy	-6.515	eV/atom

The structure in POSCAR format:
```
NdAlIr
1.0
4.338 0.000 0.000
-2.169 3.757 0.000
0.000 0.000 8.067
Nd Al Ir
2 2 2
Direct
0.000 0.000 0.000
0.000 0.000 0.500
0.333 0.667 0.250
0.667 0.333 0.750
0.333 0.667 0.750
0.667 0.333 0.250
```

=====

19.
VASP calculation (PBE) on an optimized crystal structure of NdAl2Ir2.

DFT total energy	-6.875	eV/atom

The structure in POSCAR format:
```
NdAl2Ir2
1.0
4.293 0.000 0.000
0.000 4.293 0.000
0.000 0.000 10.190
Nd Al Ir
2 4 4
Direct
0.250 0.250 0.240
0.750 0.750 0.760
0.250 0.250 0.879
0.250 0.750 0.500
0.750 0.250 0.500
0.750 0.750 0.121
0.250 0.250 0.632
0.250 0.750 0.000
0.750 0.250 0.000
0.750 0.750 0.368
```

=====

20.
VASP calculation (PBE) on an optimized crystal structure of NdAl3Ir.

DFT total energy	-5.648	eV/atom

The structure in POSCAR format:
```
NdAl3Ir
1.0
-2.142 2.142 5.436
2.142 -2.142 5.436
2.142 2.142 -5.436
Nd Al Ir
1 3 1
Direct
0.000 0.000 0.000
0.251 0.751 0.500
0.410 0.410 0.000
0.751 0.251 0.500
0.635 0.635 0.000
```

=====

| no. | size of the total moment (μB per cell) | theoretical density (g/cm3) |
| --- | --- | --- |
| 1 | 0.024 | 6.77 |
| 2 | 0.021 | 11.58 |
| 3 | 0.001 | 7.05 |
| 4 | 0.014 | 7.18 |
| 5 | 0.000 | 8.44 |
| 6 | 0.000 | 8.74 |
| 7 | 0.001 | 5.23 |
| 8 | 0.002 | 6.36 |
| 9 | 0.007 | 8.16 |
| 10 | 0.004 | 8.34 |
| 11 | 0.000 | 8.67 |
| 12 | 0.193 | 8.93 |
| 13 | 0.002 | 13.75 |
| 14 | 0.006 | 8.10 |
| 15 | 0.026 | 10.31 |
| 16 | 0.001 | 9.20 |
| 17 | 0.009 | 10.30 |
| 18 | 0.001 | 9.18 |
| 19 | 0.009 | 10.30 |
| 20 | 0.004 | 6.95 |